Here is a geometry-optimized Tb3SbAs2 structure from Alexandria. Energies are from GGA-PBE.

Cell and atoms, written as POSCAR:
```
Tb3SbAs2
1.0
2.548 -6.204 0.000
2.548 6.204 0.000
0.000 0.000 9.963
Tb Sb As
6 2 4
direct
0.103 0.897 0.750 Tb
0.371 0.629 0.547 Tb
0.371 0.629 0.953 Tb
0.629 0.371 0.047 Tb
0.629 0.371 0.453 Tb
0.897 0.103 0.250 Tb
0.221 0.779 0.250 Sb
0.779 0.221 0.750 Sb
0.000 0.000 0.000 As
0.000 0.000 0.500 As
0.468 0.532 0.250 As
0.532 0.468 0.750 As
```

Calculated values
Formation energy (no corrections), eV per atom: -0.942
Space group: Cmcm (63)
Total magnetic moment, μB per cell: 0.0

Here is a geometry-optimized VW3I structure from Alexandria. Energies are from GGA-PBE.

Cell and atoms, written as POSCAR:
```
VW3I
1.0
4.659 0.000 0.000
0.000 4.659 0.000
0.000 0.000 4.659
V W I
1 3 1
direct
0.000 0.000 0.000 V
0.000 0.000 0.500 W
0.000 0.500 0.000 W
0.500 0.000 0.000 W
0.500 0.500 0.500 I
```

Calculated values
Formation energy (no corrections), eV per atom: 2.010
Space group: Pm-3m (221)
Total magnetic moment, μB per cell: 0.0

Here is a geometry-optimized LaCeMgSc structure from Alexandria. Energies are from GGA-PBE.

Cell and atoms, written as POSCAR:
```
LaCeMgSc
1.0
0.000 3.889 3.889
3.889 0.000 3.889
3.889 3.889 0.000
La Ce Mg Sc
1 1 1 1
direct
0.000 0.000 0.000 La
0.500 0.500 0.500 Ce
0.250 0.250 0.250 Mg
0.750 0.750 0.750 Sc
```

Calculated values
Space group: F-43m (216)
VASP energy, eV/atom: -4.610
Total magnetic moment, μB per cell: 1.3

Here is a geometry-optimized Gd2ZnCu structure from Alexandria. Energies are from GGA-PBE.

Cell and atoms, written as POSCAR:
```
Gd2ZnCu
1.0
1.760 1.016 10.244
-1.760 1.016 10.244
0.000 -2.032 10.244
Gd Zn Cu
2 1 1
direct
0.101 0.101 0.101 Gd
0.899 0.899 0.899 Gd
0.000 0.000 0.000 Zn
0.500 0.500 0.500 Cu
```

Calculated values
Space group: R-3m (166)
VASP energy, eV/atom: -8.082
Total magnetic moment, μB per cell: 15.5

> What is the total magnetic moment in the fourth record?

15.5 μB per cell